[1]
# RbFeSe2N, optimized geometry, DFT PBE
data_RbFeSe2N
_symmetry_space_group_name_H-M 'P 4/m m m'
_symmetry_Int_Tables_number 123
_symmetry_space_group_name_Hall '-P 4 2'
_cell_length_a 5.491
_cell_length_b 5.491
_cell_length_c 3.447
_cell_angle_alpha 90.00
_cell_angle_beta 90.00
_cell_angle_gamma 90.00
loop_
_atom_site_label
_atom_site_type_symbol
_atom_site_fract_x
_atom_site_fract_y
_atom_site_fract_z
Rb1 Rb 0.000 0.000 0.000
Fe1 Fe 0.500 0.500 0.500
Se1 Se 0.000 0.500 0.500
N1 N 0.500 0.500 0.000
# Raw formation energy   0.0789 eV/atom
# ΔE to the lowest computed polymorph   0.00 eV/f.u.
# Total moment   1.2 μB per formula unit

[2]
# SrCaPb2, optimized geometry, DFT PBE
data_SrCaPb2
_symmetry_space_group_name_H-M 'P 1 2/m 1'
_symmetry_Int_Tables_number 10
_cell_length_a 3.733
_cell_length_b 4.653
_cell_length_c 7.445
_cell_angle_alpha 90.00
_cell_angle_beta 90.10
_cell_angle_gamma 90.00
loop_
_symmetry_equiv_pos_as_xyz
'x,y,z'
'-x,-y,-z'
'-x,y,-z'
'x,-y,z'
loop_
_atom_site_label
_atom_site_type_symbol
_atom_site_fract_x
_atom_site_fract_y
_atom_site_fract_z
Sr1 Sr 0.000 0.000 0.000
Ca1 Ca 0.000 0.000 0.500
Pb1 Pb 0.497 0.500 0.274
# E   -3.30 eV per atom
# Total moment   0.0 μB per formula unit

[3]
# Ac12In6Pb, optimized geometry, DFT PBE
data_Ac12In6Pb
_symmetry_space_group_name_H-M 'R -3'
_symmetry_Int_Tables_number 148
_symmetry_space_group_name_Hall '-R 3'
_cell_length_a 15.8964
_cell_length_b 15.8964
_cell_length_c 10.5646
_cell_angle_alpha 90.00
_cell_angle_beta 90.00
_cell_angle_gamma 120.00
loop_
_atom_site_label
_atom_site_type_symbol
_atom_site_fract_x
_atom_site_fract_y
_atom_site_fract_z
Ac1 Ac 0.0476 0.1975 0.3028
Ac2 Ac 0.0533 0.2439 0.9315
In1 In 0.0552 0.2524 0.6082
Pb1 Pb 0.0000 0.0000 0.0000
# ΔE to the lowest computed polymorph   2.09 eV/f.u.
# Total moment   0.0 μB per formula unit

[4]
# Nd2Ga6Rh9, optimized geometry, DFT PBE
data_Nd2Ga6Rh9
_symmetry_space_group_name_H-M 'P 6/m m m'
_symmetry_Int_Tables_number 191
_symmetry_space_group_name_Hall '-P 6 2'
_cell_length_a 5.5964
_cell_length_b 5.5964
_cell_length_c 11.6082
_cell_angle_alpha 90.00
_cell_angle_beta 90.00
_cell_angle_gamma 120.00
loop_
_atom_site_label
_atom_site_type_symbol
_atom_site_fract_x
_atom_site_fract_y
_atom_site_fract_z
Nd1 Nd 0.0000 0.0000 0.1983
Ga1 Ga 0.3333 0.6667 0.1648
Ga2 Ga 0.3333 0.6667 0.5000
Rh1 Rh 0.0000 0.5000 0.0000
Rh2 Rh 0.0000 0.5000 0.3308
# E   -6.10 eV per atom
# Total moment   0.0 μB per formula unit

[5]
# SmDyHgPb, optimized geometry, DFT PBE
data_SmDyHgPb
_symmetry_space_group_name_H-M 'P m m m'
_symmetry_Int_Tables_number 47
_cell_length_a 4.206
_cell_length_b 5.115
_cell_length_c 5.134
_cell_angle_alpha 90.00
_cell_angle_beta 90.00
_cell_angle_gamma 90.00
loop_
_symmetry_equiv_pos_as_xyz
'x,y,z'
'-x,-y,-z'
'-x,-y,z'
'x,y,-z'
'x,-y,-z'
'-x,y,z'
'-x,y,-z'
'x,-y,z'
loop_
_atom_site_label
_atom_site_type_symbol
_atom_site_fract_x
_atom_site_fract_y
_atom_site_fract_z
Sm1 Sm 0.000 0.000 0.000
Dy1 Dy 0.000 0.500 0.500
Hg1 Hg 0.500 0.500 0.000
Pb1 Pb 0.500 0.000 0.500
# ΔE to the lowest computed polymorph   0.00 eV/f.u.
# Total moment   0.0 μB per formula unit

[6]
# BaCd2GeRh2, optimized geometry, DFT PBE
data_BaCd2GeRh2
_symmetry_space_group_name_H-M 'P 4/m m m'
_symmetry_Int_Tables_number 123
_symmetry_space_group_name_Hall '-P 4 2'
_cell_length_a 4.715
_cell_length_b 4.715
_cell_length_c 6.433
_cell_angle_alpha 90.00
_cell_angle_beta 90.00
_cell_angle_gamma 90.00
loop_
_atom_site_label
_atom_site_type_symbol
_atom_site_fract_x
_atom_site_fract_y
_atom_site_fract_z
Ba1 Ba 0.000 0.000 0.000
Cd1 Cd 0.500 0.500 0.244
Ge1 Ge 0.000 0.000 0.500
Rh1 Rh 0.000 0.500 0.500
# E   -4.16 eV per atom
# Total moment   0.6 μB per formula unit

[7]
# Y4BiSbSe2, optimized geometry, DFT PBE
data_Y4BiSbSe2
_symmetry_space_group_name_H-M 'P 1 2/m 1'
_symmetry_Int_Tables_number 10
_cell_length_a 7.384
_cell_length_b 4.271
_cell_length_c 7.387
_cell_angle_alpha 90.00
_cell_angle_beta 109.57
_cell_angle_gamma 90.00
loop_
_symmetry_equiv_pos_as_xyz
'x,y,z'
'-x,-y,-z'
'-x,y,-z'
'x,-y,z'
loop_
_atom_site_label
_atom_site_type_symbol
_atom_site_fract_x
_atom_site_fract_y
_atom_site_fract_z
Y1 Y 0.232 0.000 0.239
Y2 Y 0.236 0.500 0.750
Bi1 Bi 0.500 0.500 0.500
Sb1 Sb 0.500 0.000 0.000
Se1 Se 0.000 0.000 0.500
Se2 Se 0.000 0.500 0.000
# Raw formation energy   -1.3901 eV/atom
# Total moment   0.0 μB per formula unit

[8]
# Tb6InRu5, optimized geometry, DFT PBE
data_Tb6InRu5
_symmetry_space_group_name_H-M 'C m m m'
_symmetry_Int_Tables_number 65
_symmetry_space_group_name_Hall '-C 2 2'
_cell_length_a 4.889
_cell_length_b 14.660
_cell_length_c 7.005
_cell_angle_alpha 90.00
_cell_angle_beta 90.00
_cell_angle_gamma 90.00
loop_
_atom_site_label
_atom_site_type_symbol
_atom_site_fract_x
_atom_site_fract_y
_atom_site_fract_z
Tb1 Tb 0.000 0.000 0.232
Tb2 Tb 0.000 0.327 0.244
In1 In 0.000 0.500 0.500
Ru1 Ru 0.000 0.162 0.500
Ru2 Ru 0.000 0.167 0.000
Ru3 Ru 0.000 0.500 0.000
# E   -6.74 eV per atom
# Total moment   0.0 μB per formula unit